Record 1
Density functional theory data (PBE) for a geometry-optimized NaSnMoAs2 structure.

The value obtained for the calculated volume is 30.67 Å³ per atom. The spin magnetization is 3.3 Bohr magnetons per cell. Its total energy is -20.2 eV per cell. The calculation puts the formation energy at 24.00 kcal/mol of atoms.

It has space group P4/mmm (No. 123), with a = 5.389 Å, b = 5.389 Å, c = 5.281 Å, α = 90.00°, β = 90.00° and γ = 90.00°. The distinct sites, in fractional coordinates, are Na at (0.000, 0.000, 0.000), Sn at (0.500, 0.500, 0.500), Mo at (0.500, 0.500, 0.000) and As at (0.000, 0.500, 0.500).

---

Record 2
Density functional theory data (PBE) for a geometry-optimized K5Ag2Au structure.

The value obtained for the calculated volume is 39.51 Å³ per atom. The spin magnetization is 0.0 Bohr magnetons per cell. Its total energy is -60.2 eV per cell. The calculation puts the formation energy at -1.69 kcal/mol of atoms.

It has space group I4/mcm (No. 140), with a = 8.756 Å, b = 8.756 Å, c = 16.491 Å, α = 90.00°, β = 90.00° and γ = 90.00°. The distinct sites, in fractional coordinates, are K at (0.000, 0.000, 0.000), K at (0.175, 0.325, 0.148), Ag at (0.113, 0.387, 0.500) and Au at (0.000, 0.000, 0.250).

---

Record 3
Density functional theory data (PBE) for a geometry-optimized Ir2PbAu structure.

The value obtained for the calculated volume is 17.94 Å³ per atom. The spin magnetization is 0.0 Bohr magnetons per cell. Its total energy is -88.8 eV per cell. The calculation puts the formation energy at 14.50 kcal/mol of atoms.

It has space group F-43m (No. 216), with a = 6.597 Å, b = 6.597 Å, c = 6.597 Å, α = 90.00°, β = 90.00° and γ = 90.00°. The distinct sites, in fractional coordinates, are Ir at (0.000, 0.000, 0.000), Ir at (0.250, 0.250, 0.250), Pb at (0.250, 0.250, 0.750) and Au at (0.000, 0.000, 0.500).

---

Record 4
Density functional theory data (PBE) for a geometry-optimized CeBeCo3 structure.

The value obtained for the calculated volume is 14.64 Å³ per atom. The spin magnetization is 6.2 Bohr magnetons per cell. Its total energy is -121.2 eV per cell. The calculation puts the formation energy at 3.14 kcal/mol of atoms.

It has space group Cmcm (No. 63), with a = 5.911 Å, b = 11.605 Å, c = 4.269 Å, α = 90.00°, β = 90.00° and γ = 90.00°. The distinct sites, in fractional coordinates, are Ce at (0.000, 0.097, 0.250), Be at (0.000, 0.330, 0.250), Co at (0.000, 0.500, 0.000) and Co at (0.191, 0.306, 0.750).

---

Record 5
Density functional theory data (PBE) for a geometry-optimized LiAc2S2Br2 structure.

The value obtained for the calculated volume is 37.19 Å³ per atom. The spin magnetization is 0.0 Bohr magnetons per cell. Its total energy is -33.8 eV per cell. As for the formation energy (no corrections): -166.4 kJ/mol of atoms.

It has space group P-3m1 (No. 164), with a = 4.9412 Å, b = 4.9412 Å, c = 12.3111 Å, α = 90.00°, β = 90.00° and γ = 120.00°. The distinct sites, in fractional coordinates, are Li at (0.0000, 0.0000, 0.0000), Ac at (0.3333, 0.6667, 0.6441), S at (0.3333, 0.6667, 0.4056) and Br at (0.0000, 0.0000, 0.2017).

---

Record 6
Density functional theory data (PBE) for a geometry-optimized Ho2Zr2O7 structure.

The value obtained for the calculated volume is 13.37 Å³ per atom. The spin magnetization is 0.0 Bohr magnetons per cell. Its total energy is -788.6 eV per cell. As for the formation energy (no corrections): -330.0 kJ/mol of atoms.

It has space group Fd-3m (No. 227, origin choice 2), with a = 10.558 Å, b = 10.558 Å, c = 10.558 Å, α = 90.00°, β = 90.00° and γ = 90.00°. The distinct sites, in fractional coordinates, are Ho at (0.000, 0.000, 0.000), Zr at (0.000, 0.000, 0.500), O at (0.092, 0.375, 0.875) and O at (0.125, 0.125, 0.125).

---

Record 7
Density functional theory data (PBE) for a geometry-optimized Nd2PuPa2Ru5 structure.

The value obtained for the calculated volume is 21.01 Å³ per atom. The spin magnetization is 8.0 Bohr magnetons per cell. Its total energy is -182.5 eV per cell. The calculation puts the formation energy at -4.69 kcal/mol of atoms.

It has space group P4/mbm (No. 127), with a = 10.748 Å, b = 10.748 Å, c = 3.637 Å, α = 90.00°, β = 90.00° and γ = 90.00°. The distinct sites, in fractional coordinates, are Nd at (0.174, 0.326, 0.000), Pu at (0.000, 0.000, 0.000), Pa at (0.136, 0.636, 0.000), Ru at (0.000, 0.500, 0.500) and Ru at (0.050, 0.799, 0.500).

---

Record 8
Density functional theory data (PBE) for a geometry-optimized RhPb2Au structure.

The value obtained for the calculated volume is 22.40 Å³ per atom. The spin magnetization is 0.0 Bohr magnetons per cell. Its total energy is -53.0 eV per cell. The calculation puts the formation energy at 2.28 kcal/mol of atoms.

It has space group R-3m (No. 166, hexagonal axes), with a = 3.4630 Å, b = 3.4630 Å, c = 25.8845 Å, α = 90.00°, β = 90.00° and γ = 120.00°. The distinct sites, in fractional coordinates, are Rh at (0.0000, 0.0000, 0.0000), Pb at (0.0000, 0.0000, 0.2553) and Au at (0.0000, 0.0000, 0.5000).

---

Question: Among the records above, which one has the highest spin magnetization?
Answer: Nd2PuPa2Ru5

---

Question: What is the calculated volume in the sixth record?
Answer: 13.37 Å³ per atom

---

Question: Look up the spin magnetization of the first one.
Answer: 3.3 Bohr magnetons per cell

---

Please write out number 8 again, unchanged.
Density functional theory data (PBE) for a geometry-optimized RhPb2Au structure.

The value obtained for the calculated volume is 22.40 Å³ per atom. The spin magnetization is 0.0 Bohr magnetons per cell. Its total energy is -53.0 eV per cell. The calculation puts the formation energy at 2.28 kcal/mol of atoms.

It has space group R-3m (No. 166, hexagonal axes), with a = 3.4630 Å, b = 3.4630 Å, c = 25.8845 Å, α = 90.00°, β = 90.00° and γ = 120.00°. The distinct sites, in fractional coordinates, are Rh at (0.0000, 0.0000, 0.0000), Pb at (0.0000, 0.0000, 0.2553) and Au at (0.0000, 0.0000, 0.5000).